Compound: HoSi2Ni5Pt
Source: Alexandria
Functional: PBE-GGA
Structure: relaxed

The structure belongs to space group P4/mmm (No. 123); the cell edges are 3.7246, 3.7246 and 8.8233 Å and the angles 90.00°, 90.00° and 90.00°. The distinct sites, in fractional coordinates, are Ho at (0.0000, 0.0000, 0.0000), Si at (0.5000, 0.5000, 0.3712), Ni at (0.0000, 0.5000, 0.2318), Ni at (0.5000, 0.5000, 0.0000) and Pt at (0.0000, 0.0000, 0.5000).

The calculation puts the density at 9.6 Mg/m³. Its density of states at the Fermi level is 0.377 states/eV/atom. The formation energy (no corrections) is -0.312 eV per atom. The value obtained for the spin magnetization is 0.00 μB/f.u.